Computed, not measured: crystalline Ta4ReOs at its relaxed geometry at the PBE level of DFT. Values from VASP.

Structure (Quantum ESPRESSO input):
```
&SYSTEM
  ibrav = 0, nat = 6, ntyp = 3
/
ATOMIC_SPECIES
Re 186.21 Re.upf
Ta 180.95 Ta.upf
Os 190.23 Os.upf
CELL_PARAMETERS angstrom
-2.107 2.268 3.094
-2.691 -3.390 0.652
3.908 -2.273 4.329
ATOMIC_POSITIONS crystal
Re 0.001 0.997 0.498
Ta 0.501 0.997 0.248
Ta 0.001 0.497 0.249
Ta 0.001 0.497 0.748
Ta 0.501 0.997 0.748
Os 0.501 0.497 0.998
```

Output
N(E_F)	3.7	states/eV/f.u.
total moment	0.00	Bohr magnetons per cell
excess energy over the best structure of this formula in the dataset	523	meV per atom
E_form	0.19	eV per atom